#A
Material: Ca2TeAs
Method: DFT, PBE-GGA
State: relaxed

## Properties
For the magnetic moment, the calculation gives 0.000 μB/f.u.

a b c (Å): 8.0845 8.0845 6.7773
angles (deg): 53.38 53.38 90.00
Last column: nearest neighbours and their distance in Å.
Sites, in units of the cell vectors:
As: 0.5000 0.5000 0.0000  4 Ca 2.87
As: 0.2500 0.7500 0.5000  4 Ca 2.87
Te: 0.0000 0.0000 0.0000  4 Ca 3.14
Te: 0.7500 0.2500 0.5000  4 Ca 3.14
Ca: 0.5996 0.1250 0.2500  2 As 2.87, 2 Te 3.14
Ca: 0.1504 0.6250 0.2500  2 As 2.87, 2 Te 3.14
Ca: 0.3750 0.4004 0.7500  2 As 2.87, 2 Te 3.14
Ca: 0.8750 0.8496 0.7500  2 As 2.87, 2 Te 3.14

***

#B
Material: Ca2TeAs
Method: DFT, PBE-GGA
State: relaxed

## Properties
For the magnetic moment, the calculation gives 0.000 μB/f.u.

a b c (Å): 8.3879 8.3879 8.3879
angles (deg): 151.27 155.18 38.33
Last column: nearest neighbours and their distance in Å.
Sites, in units of the cell vectors:
As: 0.1992 0.6992 0.5000  6 Ca 3.02-3.07
Te: 0.4552 0.4552 0.0000  6 Ca 3.22-3.25, 2 Te 3.61
Ca: 0.0609 0.0609 0.0000  2 As 3.02, 4 Te 3.22
Ca: 0.7847 0.2847 0.5000  4 As 3.07, 2 Te 3.25

***

Relative energies, meV per atom: #A 65; #B 0.

***

#A
Material: Ca2TeAs
Method: DFT, PBE-GGA
State: relaxed

## Properties
For the magnetic moment, the calculation gives 0.000 μB/f.u.

a b c (Å): 7.9608 5.3126 3.8551
angles (deg): 88.38 63.48 125.96
Last column: nearest neighbours and their distance in Å.
Sites, in units of the cell vectors:
As: 0.5000 0.5000 0.0000  8 Ca 3.24-3.33, 2 Te 3.56
Te: 0.0000 0.5000 0.5000  8 Ca 3.24-3.33, 2 As 3.56
Ca: 0.0000 0.0000 0.0000  4 As 3.24-3.33, 4 Te 3.24-3.33, 2 Ca 3.56
Ca: 0.5000 0.0000 0.5000  4 Te 3.24-3.33, 4 As 3.24-3.33, 2 Ca 3.56

***

#B
Material: Ca2TeAs
Method: DFT, PBE-GGA
State: relaxed

## Properties
For the magnetic moment, the calculation gives 0.000 μB/f.u.

a b c (Å): 5.3443 5.3443 5.3443
angles (deg): 60.00 60.00 60.00
Last column: nearest neighbours and their distance in Å.
Sites, in units of the cell vectors:
As: 0.5000 0.5000 0.5000  4 Te 3.27, 4 Ca 3.27
Te: 0.7500 0.7500 0.7500  4 Ca 3.27, 4 As 3.27
Ca: 0.0000 0.0000 0.0000  4 Ca 3.27, 4 Te 3.27
Ca: 0.2500 0.2500 0.2500  4 As 3.27, 4 Ca 3.27

***

Relative energies, meV per atom: #A 0; #B 621.

***

#A
Material: CaTiAs2
Method: DFT, PBE-GGA
State: relaxed

## Properties
For the magnetic moment, the calculation gives 0.810 μB/f.u.

a b c (Å): 4.8297 4.8297 4.8297
angles (deg): 60.00 60.00 60.00
Last column: nearest neighbours and their distance in Å.
Sites, in units of the cell vectors:
As: 0.2500 0.2500 0.2500  4 Ca 2.96, 4 Ti 2.96
As: 0.7500 0.7500 0.7500  4 Ca 2.96, 4 Ti 2.96
Ca: 0.0000 0.0000 0.0000  8 As 2.96
Ti: 0.5000 0.5000 0.5000  8 As 2.96

***

#B
Material: CaTiAs2
Method: DFT, PBE-GGA
State: relaxed

## Properties
For the magnetic moment, the calculation gives 0.000 μB/f.u.

a b c (Å): 7.0486 7.0486 6.4752
angles (deg): 57.02 57.02 90.00
Last column: nearest neighbours and their distance in Å.
Sites, in units of the cell vectors:
As: 0.6770 0.1250 0.2500  2 Ti 2.47
As: 0.0730 0.6250 0.2500  2 Ti 2.47
As: 0.3750 0.3230 0.7500  2 Ti 2.47
As: 0.8750 0.9270 0.7500  2 Ti 2.47
Ca: 0.5000 0.5000 0.0000  4 As 2.95
Ca: 0.2500 0.7500 0.5000  4 As 2.95
Ti: 0.0000 0.0000 0.0000  4 As 2.47
Ti: 0.7500 0.2500 0.5000  4 As 2.47

***

#C
Material: CaTiAs2
Method: DFT, PBE-GGA
State: relaxed

## Properties
For the magnetic moment, the calculation gives 0.000 μB/f.u.

a b c (Å): 3.8173 3.8173 7.2054
angles (deg): 74.64 74.64 60.00
Last column: nearest neighbours and their distance in Å.
Sites, in units of the cell vectors:
Ca: 0.4977 0.4977 0.5069  6 As 2.94-3.00
Ti: 0.6688 0.6688 0.9936  6 As 2.61-2.66
As: 0.0700 0.0700 0.7901  3 Ti 2.61
As: 0.2635 0.2635 0.2095  3 Ti 2.66

***

Relative energies, meV per atom: #A 411; #B 244; #C 0.

***

#A
Material: Ca3TiAs
Method: DFT, PBE-GGA
State: relaxed

## Properties
For the magnetic moment, the calculation gives 4.781 μB/f.u.

a b c (Å): 5.6160 5.6160 5.6160
angles (deg): 90.00 90.00 90.00
Last column: nearest neighbours and their distance in Å.
Sites, in units of the cell vectors:
As: 0.5000 0.5000 0.5000  12 Ca 3.97
Ca: 0.0000 0.5000 0.0000  2 Ti 2.81
Ca: 0.0000 0.0000 0.5000  2 Ti 2.81
Ca: 0.5000 0.0000 0.0000  2 Ti 2.81
Ti: 0.0000 0.0000 0.0000  6 Ca 2.81

***

#B
Material: Ca3TiAs
Method: DFT, PBE-GGA
State: relaxed

## Properties
For the magnetic moment, the calculation gives 0.538 μB/f.u.

a b c (Å): 5.6080 5.6080 5.6080
angles (deg): 90.00 90.00 90.00
Last column: nearest neighbours and their distance in Å.
Sites, in units of the cell vectors:
As: 0.0000 0.0000 0.0000  6 Ca 2.80
Ca: 0.0000 0.5000 0.0000  2 As 2.80
Ca: 0.0000 0.0000 0.5000  2 As 2.80
Ca: 0.5000 0.0000 0.0000  2 As 2.80
Ti: 0.5000 0.5000 0.5000  12 Ca 3.97

***

Relative energies, meV per atom: #A 583; #B 0.

***

#A
Material: CaTi2As2
Method: DFT, PBE-GGA
State: relaxed

## Properties
For the magnetic moment, the calculation gives 1.928 μB/f.u.

a b c (Å): 4.9210 4.9210 5.6254
angles (deg): 64.06 64.06 90.00
Last column: nearest neighbours and their distance in Å.
Sites, in units of the cell vectors:
As: 0.7500 0.2500 0.5000  4 Ti 2.60
As: 0.2500 0.7500 0.5000  4 Ti 2.60
Ca: 0.0000 0.0000 0.0000  2 Ti 3.06, 8 As 3.31
Ti: 0.3461 0.3461 0.3079  4 As 2.60, 1 Ti 2.72
Ti: 0.6539 0.6539 0.6921  4 As 2.60, 1 Ti 2.72

***

#B
Material: CaTi2As2
Method: DFT, PBE-GGA
State: relaxed

## Properties
For the magnetic moment, the calculation gives 0.000 μB/f.u.

a b c (Å): 7.4204 7.4204 3.4433
angles (deg): 90.00 90.00 90.00
Last column: nearest neighbours and their distance in Å.
Sites, in units of the cell vectors:
As: 0.3551 0.8551 0.0000  6 Ti 2.71-2.87, 2 Ca 2.85
As: 0.8551 0.6449 0.0000  6 Ti 2.71-2.87, 2 Ca 2.85
As: 0.6449 0.1449 0.0000  6 Ti 2.71-2.87, 2 Ca 2.85
As: 0.1449 0.3551 0.0000  6 Ti 2.71-2.87, 2 Ca 2.85
Ca: 0.0000 0.0000 0.0000  4 As 2.85
Ca: 0.5000 0.5000 0.0000  4 As 2.85
Ti: 0.1369 0.6369 0.5000  6 As 2.71-2.87, 1 Ti 2.87
Ti: 0.6369 0.8631 0.5000  6 As 2.71-2.87, 1 Ti 2.87
Ti: 0.8631 0.3631 0.5000  6 As 2.71-2.87, 1 Ti 2.87
Ti: 0.3631 0.1369 0.5000  6 As 2.71-2.87, 1 Ti 2.87

***

Relative energies, meV per atom: #A 177; #B 0.

***

#A
Material: CaTi3As
Method: DFT, PBE-GGA
State: relaxed

## Properties
For the magnetic moment, the calculation gives 0.000 μB/f.u.

a b c (Å): 4.8540 4.8540 4.8540
angles (deg): 90.00 90.00 90.00
Last column: nearest neighbours and their distance in Å.
Sites, in units of the cell vectors:
As: 0.0000 0.0000 0.0000  6 Ti 2.43
Ca: 0.5000 0.5000 0.5000  12 Ti 3.43
Ti: 0.0000 0.5000 0.0000  2 As 2.43
Ti: 0.0000 0.0000 0.5000  2 As 2.43
Ti: 0.5000 0.0000 0.0000  2 As 2.43

***

#B
Material: CaTi3As
Method: DFT, PBE-GGA
State: relaxed

## Properties
For the magnetic moment, the calculation gives 2.039 μB/f.u.

a b c (Å): 4.6664 4.6664 4.6664
angles (deg): 90.00 90.00 90.00
Last column: nearest neighbours and their distance in Å.
Sites, in units of the cell vectors:
As: 0.5000 0.5000 0.5000  12 Ti 3.30
Ca: 0.0000 0.0000 0.0000  6 Ti 2.33
Ti: 0.0000 0.5000 0.0000  2 Ca 2.33
Ti: 0.0000 0.0000 0.5000  2 Ca 2.33
Ti: 0.5000 0.0000 0.0000  2 Ca 2.33

***

Relative energies, meV per atom: #A 0; #B 1541.

***

#A
Material: CaTl2As
Method: DFT, PBE-GGA
State: relaxed

## Properties
For the magnetic moment, the calculation gives 0.000 μB/f.u.

a b c (Å): 3.7999 4.1563 7.2937
angles (deg): 90.00 90.00 90.00
Last column: nearest neighbours and their distance in Å.
Sites, in units of the cell vectors:
Tl: 0.0000 0.0000 0.9829  1 As 3.08
Tl: 0.5000 0.5000 0.2598  1 Ca 3.18, 4 Tl 3.47
Ca: 0.5000 0.5000 0.6965  4 As 2.98, 1 Tl 3.18
As: 0.0000 0.0000 0.5607  4 Ca 2.98, 1 Tl 3.08

***

#B
Material: CaTl2As
Method: DFT, PBE-GGA
State: relaxed

## Properties
For the magnetic moment, the calculation gives 0.000 μB/f.u.

a b c (Å): 5.3665 5.3665 5.3665
angles (deg): 60.00 60.00 60.00
Last column: nearest neighbours and their distance in Å.
Sites, in units of the cell vectors:
Tl: 0.0000 0.0000 0.0000  4 Ca 3.29, 4 Tl 3.29
Tl: 0.2500 0.2500 0.2500  4 Tl 3.29, 4 As 3.29
Ca: 0.7500 0.7500 0.7500  4 As 3.29, 4 Tl 3.29
As: 0.5000 0.5000 0.5000  4 Tl 3.29, 4 Ca 3.29

***

Relative energies, meV per atom: #A 0; #B 77.

***

#A
Material: CaTl2As
Method: DFT, PBE-GGA
State: relaxed

## Properties
For the magnetic moment, the calculation gives 0.000 μB/f.u.

a b c (Å): 5.5492 5.5492 5.9275
angles (deg): 68.33 68.33 43.92
Last column: nearest neighbours and their distance in Å.
Sites, in units of the cell vectors:
Tl: 0.0119 0.0119 0.0002  2 As 2.93, 1 Tl 3.10
Tl: 0.7905 0.7905 0.7668  3 Tl 3.10-3.36, 2 As 3.25
Ca: 0.2012 0.2012 0.3744  3 As 2.99-3.00
As: 0.4964 0.4964 0.3587  4 Tl 2.93-3.25, 3 Ca 2.99-3.00

***

#B
Material: CaTl2As
Method: DFT, PBE-GGA
State: relaxed

## Properties
For the magnetic moment, the calculation gives 0.000 μB/f.u.

a b c (Å): 8.6574 8.6574 6.8474
angles (deg): 50.79 50.79 90.00
Last column: nearest neighbours and their distance in Å.
Sites, in units of the cell vectors:
Tl: 0.6646 0.1250 0.2500  2 As 2.93, 2 Tl 3.14
Tl: 0.0854 0.6250 0.2500  2 As 2.93, 2 Tl 3.14
Tl: 0.3750 0.3354 0.7500  2 As 2.93, 2 Tl 3.14
Tl: 0.8750 0.9146 0.7500  2 As 2.93, 2 Tl 3.14
Ca: 0.5000 0.5000 0.0000  2 As 3.07, 4 Tl 3.40
Ca: 0.2500 0.7500 0.5000  2 As 3.07, 4 Tl 3.40
As: 0.0000 0.0000 0.0000  4 Tl 2.93, 2 Ca 3.07
As: 0.7500 0.2500 0.5000  4 Tl 2.93, 2 Ca 3.07

***

Relative energies, meV per atom: #A 0; #B 48.

***

#A
Material: CaTl2As
Method: DFT, PBE-GGA
State: relaxed

## Properties
For the magnetic moment, the calculation gives 0.000 μB/f.u.

a b c (Å): 7.9432 7.9432 7.9432
angles (deg): 31.23 31.23 31.23
Last column: nearest neighbours and their distance in Å.
Sites, in units of the cell vectors:
Tl: 0.9868 0.9868 0.9868  3 As 2.94
Tl: 0.5132 0.5132 0.5132  3 As 2.94
Ca: 0.7500 0.7500 0.7500  6 Tl 3.30
As: 0.2500 0.2500 0.2500  6 Tl 2.94

***

#B
Material: CaTl2As
Method: DFT, PBE-GGA
State: relaxed

## Properties
For the magnetic moment, the calculation gives 0.000 μB/f.u.

a b c (Å): 6.7911 6.7911 4.4404
angles (deg): 70.59 70.59 125.59
Last column: nearest neighbours and their distance in Å.
Sites, in units of the cell vectors:
Tl: 0.0000 0.0000 0.0000  4 Tl 3.05-3.10, 2 Ca 3.38, 2 As 3.38
Tl: 0.5000 0.5000 0.0000  4 Tl 3.05-3.10, 2 As 3.38, 2 Ca 3.38
Ca: 0.0000 0.5000 0.5000  4 As 3.05-3.10, 4 Tl 3.38
As: 0.5000 0.0000 0.5000  4 Ca 3.05-3.10, 4 Tl 3.38

***

Relative energies, meV per atom: #A 211; #B 0.

***

#A
Material: CaTl2As
Method: DFT, PBE-GGA
State: relaxed

## Properties
For the magnetic moment, the calculation gives 0.000 μB/f.u.

a b c (Å): 6.7240 6.7240 4.7144
angles (deg): 69.51 69.51 34.17
Last column: nearest neighbours and their distance in Å.
Sites, in units of the cell vectors:
As: 0.7500 0.7500 0.7500  4 Ca 3.08, 4 Tl 3.18
Tl: 0.0418 0.0418 0.9580  2 As 3.18, 4 Tl 3.23-3.24, 2 Ca 3.43
Tl: 0.4582 0.4582 0.5420  2 As 3.18, 4 Tl 3.23-3.24, 2 Ca 3.43
Ca: 0.2500 0.2500 0.2500  4 As 3.08, 4 Tl 3.43

***

#B
Material: CaTl2As
Method: DFT, PBE-GGA
State: relaxed

## Properties
For the magnetic moment, the calculation gives 0.000 μB/f.u.

a b c (Å): 4.5021 4.5106 5.3252
angles (deg): 90.00 90.00 90.00
Last column: nearest neighbours and their distance in Å.
Sites, in units of the cell vectors:
Tl: 0.0000 0.0000 0.0000  4 Tl 3.19, 4 As 3.49, 4 Ca 3.49
Tl: 0.5000 0.5000 0.0000  4 Tl 3.19, 4 Ca 3.49, 4 As 3.49
Ca: 0.0000 0.5000 0.5000  4 As 3.19, 8 Tl 3.49
As: 0.5000 0.0000 0.5000  4 Ca 3.19, 8 Tl 3.49

***

Relative energies, meV per atom: #A 0; #B 13.

***

#A
Material: CaTl2As
Method: DFT, PBE-GGA
State: relaxed

## Properties
For the magnetic moment, the calculation gives 0.000 μB/f.u.

a b c (Å): 5.3683 5.3683 5.3683
angles (deg): 60.00 60.00 60.00
Last column: nearest neighbours and their distance in Å.
Sites, in units of the cell vectors:
Tl: 0.2500 0.2500 0.2500  4 As 3.29, 4 Ca 3.29
Tl: 0.7500 0.7500 0.7500  4 As 3.29, 4 Ca 3.29
Ca: 0.0000 0.0000 0.0000  8 Tl 3.29
As: 0.5000 0.5000 0.5000  8 Tl 3.29

***

#B
Material: CaTl2As
Method: DFT, PBE-GGA
State: relaxed

## Properties
For the magnetic moment, the calculation gives 0.000 μB/f.u.

a b c (Å): 5.7991 5.7991 5.7991
angles (deg): 131.59 131.59 70.87
Last column: nearest neighbours and their distance in Å.
Sites, in units of the cell vectors:
Tl: 0.0000 0.0000 0.0000  4 Tl 3.35, 4 Ca 3.35, 4 As 3.36
Tl: 0.2500 0.7500 0.5000  4 As 3.35, 4 Tl 3.35, 4 Ca 3.36
Ca: 0.7500 0.2500 0.5000  8 Tl 3.35-3.36, 4 As 3.35
As: 0.5000 0.5000 0.0000  4 Ca 3.35, 8 Tl 3.35-3.36

***

#C
Material: CaTl2As
Method: DFT, PBE-GGA
State: relaxed

## Properties
For the magnetic moment, the calculation gives 0.000 μB/f.u.

a b c (Å): 4.1066 4.3952 6.7971
angles (deg): 71.12 90.00 90.00
Last column: nearest neighbours and their distance in Å.
Sites, in units of the cell vectors:
Tl: 0.0000 0.0468 0.0331  1 As 2.93, 4 Tl 3.26
Tl: 0.5000 0.4482 0.2302  2 As 3.04, 4 Tl 3.26
Ca: 0.5000 0.7325 0.6589  4 As 3.05
As: 0.0000 0.2725 0.5778  3 Tl 2.93-3.04, 4 Ca 3.05

***

Relative energies, meV per atom: #A 265; #B 108; #C 0.

***

#A
Material: Ca2Tl2As
Method: DFT, PBE-GGA
State: relaxed

## Properties
For the magnetic moment, the calculation gives 0.000 μB/f.u.

a b c (Å): 7.7244 7.7244 5.2426
angles (deg): 90.00 90.00 90.00
Last column: nearest neighbours and their distance in Å.
Sites, in units of the cell vectors:
Tl: 0.1456 0.6456 0.5000  1 Tl 3.18, 2 Ca 3.29
Tl: 0.6456 0.8544 0.5000  1 Tl 3.18, 2 Ca 3.29
Tl: 0.8544 0.3544 0.5000  1 Tl 3.18, 2 Ca 3.29
Tl: 0.3544 0.1456 0.5000  1 Tl 3.18, 2 Ca 3.29
Ca: 0.3281 0.8281 0.0000  2 As 2.86
Ca: 0.8281 0.6719 0.0000  2 As 2.86
Ca: 0.6719 0.1719 0.0000  2 As 2.86
Ca: 0.1719 0.3281 0.0000  2 As 2.86
As: 0.0000 0.0000 0.0000  4 Ca 2.86
As: 0.5000 0.5000 0.0000  4 Ca 2.86

***

#B
Material: Ca2Tl2As
Method: DFT, PBE-GGA
State: relaxed

## Properties
For the magnetic moment, the calculation gives 0.000 μB/f.u.

a b c (Å): 5.0660 5.0660 7.3183
angles (deg): 69.75 69.75 90.00
Last column: nearest neighbours and their distance in Å.
Sites, in units of the cell vectors:
Tl: 0.3946 0.3946 0.2109  1 Tl 2.69
Tl: 0.6054 0.6054 0.7891  1 Tl 2.69
Ca: 0.7500 0.2500 0.5000  4 Tl 3.13
Ca: 0.2500 0.7500 0.5000  4 Tl 3.13
As: 0.0000 0.0000 0.0000  8 Tl 3.83, 8 Ca 4.07

***

#C
Material: Ca2Tl2As
Method: DFT, PBE-GGA
State: relaxed

## Properties
For the magnetic moment, the calculation gives 0.000 μB/f.u.

a b c (Å): 7.7935 7.7935 4.7368
angles (deg): 90.00 90.00 90.00
Last column: nearest neighbours and their distance in Å.
Sites, in units of the cell vectors:
Tl: 0.3621 0.8621 0.0000  2 As 3.02, 1 Tl 3.04, 6 Ca 3.18-3.38
Tl: 0.8621 0.6379 0.0000  2 As 3.02, 1 Tl 3.04, 6 Ca 3.18-3.38
Tl: 0.6379 0.1379 0.0000  2 As 3.02, 1 Tl 3.04, 6 Ca 3.18-3.38
Tl: 0.1379 0.3621 0.0000  2 As 3.02, 1 Tl 3.04, 6 Ca 3.18-3.38
Ca: 0.1695 0.6695 0.5000  6 Tl 3.18-3.38
Ca: 0.6695 0.8305 0.5000  6 Tl 3.18-3.38
Ca: 0.8305 0.3305 0.5000  6 Tl 3.18-3.38
Ca: 0.3305 0.1695 0.5000  6 Tl 3.18-3.38
As: 0.0000 0.0000 0.0000  4 Tl 3.02
As: 0.5000 0.5000 0.0000  4 Tl 3.02

***

Relative energies, meV per atom: #A 0; #B 531; #C 34.